PBE-GGA YTcSeN2, relaxed; D(E_F) = 4.89 states/eV/cell; polymorph energy (0 for the lowest one) = 1477 meV per atom; crystal system = tetragonal; space group = P4/mmm (123); size of the total moment = 4.57 μB/f.u.
1.0
4.228 0.000 0.000
0.000 4.228 0.000
0.000 0.000 5.818
Y Tc Se N
1 1 1 2
Cartesian
0.000 0.000 0.000
2.114 2.114 2.909
0.000 0.000 2.909
0.000 2.114 0.000
2.114 0.000 0.000



PBE-GGA YTcSeN2, relaxed; D(E_F) = 3.08 states/eV/cell; polymorph energy (0 for the lowest one) = 0 meV per atom; crystal system = tetragonal; space group = P4/mmm (123); size of the total moment = 0.00 μB/f.u.
1.0
3.942 0.000 0.000
0.000 3.942 0.000
0.000 0.000 5.170
Y Tc Se N
1 1 1 2
Cartesian
0.000 0.000 0.000
1.971 1.971 2.585
1.971 1.971 0.000
0.000 1.971 2.585
1.971 0.000 2.585



PBE-GGA ZnTcSeN2, relaxed; D(E_F) = 4.45 states/eV/cell; polymorph energy (0 for the lowest one) = 0 meV per atom; crystal system = tetragonal; space group = P4/mmm (123); size of the total moment = 0.00 μB/f.u.
1.0
3.809 0.000 0.000
0.000 3.809 0.000
0.000 0.000 5.527
Zn Tc Se N
1 1 1 2
Cartesian
0.000 0.000 0.000
1.904 1.904 2.763
1.904 1.904 0.000
0.000 1.904 2.763
1.904 0.000 2.763



- What is the polymorph energy (0 for the lowest one) in the third record?
  0 meV per atom



Repeat the first record exactly.
PBE-GGA YTcSeN2, relaxed; D(E_F) = 4.89 states/eV/cell; polymorph energy (0 for the lowest one) = 1477 meV per atom; crystal system = tetragonal; space group = P4/mmm (123); size of the total moment = 4.57 μB/f.u.
1.0
4.228 0.000 0.000
0.000 4.228 0.000
0.000 0.000 5.818
Y Tc Se N
1 1 1 2
Cartesian
0.000 0.000 0.000
2.114 2.114 2.909
0.000 0.000 2.909
0.000 2.114 0.000
2.114 0.000 0.000



- The highest polymorph energy (0 for the lowest one) belongs to which entry?
  number 1



- What is the formula in the second record?
  YTcSeN2